The following is a DFT calculation (PBE) of crystalline PW2 at its relaxed geometry.

Cell lengths 5.4057, 5.4098, 5.4098 Å; angles 148.22, 148.21, 45.58 degrees
Positions (direct):
W (0.6465, 0.6466, 0.0000)
W (0.3535, 0.3534, 0.0000)
P (0.0000, 0.0000, 0.0000)

Results
As for the total magnetization: 0.000 μB/atom. As for the space group: C2/m, No. 12. As for the crystal system: monoclinic. Its formation energy is 0.05 eV/atom. Its raw total energy is -10.389 eV per atom.